[1]
Here is a relaxed structure of HRh from Alexandria. Energies are from PBE.

Structure (extended XYZ):
```
16
Lattice="7.841 0.000 0.000 0.000 7.841 0.000 0.000 0.000 2.764" Properties=species:S:1:pos:R:3 pbc="T T T"
H 0.590 6.002 0.000
H 1.839 0.590 0.000
H 2.313 2.787 1.382
H 2.787 5.527 1.382
H 5.053 2.313 1.382
H 5.527 5.053 1.382
H 6.002 7.251 0.000
H 7.251 1.839 0.000
Rh 1.053 4.740 1.382
Rh 1.208 2.385 0.000
Rh 2.385 6.633 0.000
Rh 3.101 1.053 1.382
Rh 4.740 6.788 1.382
Rh 5.456 1.208 0.000
Rh 6.633 5.456 0.000
Rh 6.788 3.101 1.382
```

Theoretical density (Mg/m³): 8.12
Final energy (eV per atom): -5.188

=====

[2]
Here is a relaxed structure of HRh from Alexandria. Energies are from PBE.

Structure (extended XYZ):
```
2
Lattice="2.691 0.000 0.000 0.000 2.691 0.000 0.000 0.000 2.607" Properties=species:S:1:pos:R:3 pbc="T T T"
H 0.000 0.000 0.000
Rh 1.345 1.345 0.000
```

Theoretical density (Mg/m³): 9.14
Final energy (eV per atom): -5.106

=====

[3]
Here is a relaxed structure of HRh from Alexandria. Energies are from PBE.

Structure (extended XYZ):
```
8
Lattice="-3.754 3.754 1.383 3.754 -3.754 1.383 3.754 3.754 -1.383" Properties=species:S:1:pos:R:3 pbc="T T T"
H 1.348 0.648 0.000
H 3.106 -2.406 1.383
H 0.648 6.160 0.000
H 2.406 3.106 1.383
Rh 5.216 0.784 0.000
Rh 0.784 2.291 0.000
Rh 2.970 1.463 1.383
Rh -1.463 2.970 1.383
```

Theoretical density (Mg/m³): 8.86
Final energy (eV per atom): -5.185

=====

[4]
Here is a relaxed structure of HRh from Alexandria. Energies are from PBE.

Structure (extended XYZ):
```
2
Lattice="0.000 2.021 2.021 2.021 0.000 2.021 2.021 2.021 0.000" Properties=species:S:1:pos:R:3 pbc="T T T"
H 0.000 0.000 0.000
Rh 2.021 2.021 2.021
```

Theoretical density (Mg/m³): 10.45
Final energy (eV per atom): -5.317

=====

[5]
Here is a relaxed structure of H5Rh from Alexandria. Energies are from PBE.

Structure (extended XYZ):
```
6
Lattice="1.450 -4.599 0.000 1.450 4.599 0.000 0.000 0.000 2.853" Properties=species:S:1:pos:R:3 pbc="T T T"
H 0.000 0.000 0.000
H 1.450 3.480 1.427
H 1.450 1.142 0.000
H 1.450 -1.142 0.000
H 1.450 -3.480 1.427
Rh 1.450 0.000 1.427
```

Theoretical density (Mg/m³): 4.71
Final energy (eV per atom): -3.660

=====

[6]
Here is a relaxed structure of H2Rh from Alexandria. Energies are from PBE.

Structure (extended XYZ):
```
3
Lattice="2.368 -1.360 0.000 2.368 1.360 0.000 -0.107 0.000 4.030" Properties=species:S:1:pos:R:3 pbc="T T T"
H 0.748 0.000 1.078
H 3.882 0.000 2.951
Rh 2.315 0.000 2.015
```

Theoretical density (Mg/m³): 6.71
Final energy (eV per atom): -4.645

=====

[7]
Here is a relaxed structure of H2Rh from Alexandria. Energies are from PBE.

Structure (extended XYZ):
```
3
Lattice="-1.405 1.405 2.530 1.405 -1.405 2.530 1.405 1.405 -2.530" Properties=species:S:1:pos:R:3 pbc="T T T"
H 0.000 0.000 0.733
H 0.000 0.000 4.326
Rh 0.000 0.000 2.530
```

Theoretical density (Mg/m³): 8.73
Final energy (eV per atom): -4.403

=====

[8]
Here is a relaxed structure of HRh from Alexandria. Energies are from PBE.

Structure (extended XYZ):
```
12
Lattice="7.039 0.000 0.000 -3.520 6.096 0.000 0.000 0.000 2.761" Properties=species:S:1:pos:R:3 pbc="T T T"
H -0.830 3.006 0.690
H -0.502 5.312 0.690
H 2.188 2.221 2.071
H 1.332 3.875 0.690
H 4.021 0.784 2.071
H 4.349 3.090 2.071
Rh -2.030 4.295 0.690
Rh 0.815 2.190 0.690
Rh 2.304 0.389 2.071
Rh 1.215 5.707 0.690
Rh 2.705 3.906 2.071
Rh 5.550 1.801 2.071
```

Theoretical density (Mg/m³): 8.74
Final energy (eV per atom): -5.129

=====

[9]
Here is a relaxed structure of HRh from Alexandria. Energies are from PBE.

Structure (extended XYZ):
```
4
Lattice="2.954 0.000 0.000 -1.477 2.559 0.000 0.000 0.000 4.767" Properties=species:S:1:pos:R:3 pbc="T T T"
H 0.000 1.706 0.000
H 1.477 0.853 2.383
Rh 0.000 1.706 1.816
Rh 1.477 0.853 4.200
```

Theoretical density (Mg/m³): 9.58
Final energy (eV per atom): -5.257

=====

[10]
Here is a relaxed structure of H3Rh2 from Alexandria. Energies are from PBE.

Structure (extended XYZ):
```
10
Lattice="3.894 -2.490 0.000 3.894 2.490 0.000 -3.059 0.000 3.879" Properties=species:S:1:pos:R:3 pbc="T T T"
H 1.599 2.358 2.909
H -0.189 0.461 3.848
H 1.341 -0.461 1.908
H 3.388 0.461 1.970
H 4.917 -0.461 0.031
H 3.129 -2.358 0.970
Rh 1.780 1.268 1.466
Rh 4.478 1.268 0.473
Rh 0.250 -1.268 3.406
Rh 2.949 -1.268 2.413
```

Theoretical density (Mg/m³): 9.22
Energy relative to the lowest polymorph listed for this composition (eV/atom): 0.000
Final energy (eV per atom): -4.903

=====

[11]
Here is a relaxed structure of H5Rh4 from Alexandria. Energies are from PBE.

Structure (extended XYZ):
```
9
Lattice="-3.098 3.098 1.976 3.098 -3.098 1.976 3.098 3.098 -1.976" Properties=species:S:1:pos:R:3 pbc="T T T"
H 0.000 0.000 0.000
H 3.720 1.304 0.000
H 1.304 2.476 0.000
H 1.794 0.622 1.976
H -0.622 1.794 1.976
Rh 1.847 0.649 0.000
Rh 2.449 -1.251 1.976
Rh 0.649 4.349 0.000
Rh 1.251 2.449 1.976
```

Theoretical density (Mg/m³): 9.12
Final energy (eV per atom): -5.069

=====

[12]
Here is a relaxed structure of H8Rh3 from Alexandria. Energies are from PBE.

Structure (extended XYZ):
```
11
Lattice="4.208 0.000 0.000 0.000 4.208 0.000 0.000 0.000 4.208" Properties=species:S:1:pos:R:3 pbc="T T T"
H 1.041 1.041 1.041
H 1.041 1.041 3.167
H 1.041 3.167 1.041
H 1.041 3.167 3.167
H 3.167 1.041 1.041
H 3.167 1.041 3.167
H 3.167 3.167 1.041
H 3.167 3.167 3.167
Rh 0.000 2.104 2.104
Rh 2.104 0.000 2.104
Rh 2.104 2.104 0.000
```

Theoretical density (Mg/m³): 7.06
Final energy (eV per atom): -4.460

=====

[13]
Here is a relaxed structure of H3Rh2 from Alexandria. Energies are from PBE.

Structure (extended XYZ):
```
15
Lattice="6.703 -1.365 0.000 6.703 1.365 0.000 -5.913 0.000 6.696" Properties=species:S:1:pos:R:3 pbc="T T T"
H 0.000 0.000 0.000
H -3.518 0.000 4.224
H -0.657 0.000 5.772
H 2.434 0.000 2.463
H 0.830 0.000 4.388
H 6.665 0.000 2.308
H 5.060 0.000 4.233
H 8.151 0.000 0.924
H 11.012 0.000 2.472
Rh -0.884 0.000 3.198
Rh -2.380 0.000 5.527
Rh 5.557 0.000 0.731
Rh 1.937 0.000 5.965
Rh 9.874 0.000 1.169
Rh 8.378 0.000 3.498
```

Theoretical density (Mg/m³): 8.49
Energy relative to the lowest polymorph listed for this composition (eV/atom): 0.056
Final energy (eV per atom): -4.847

=====

[14]
Here is a relaxed structure of HRh from Alexandria. Energies are from PBE.

Structure (extended XYZ):
```
12
Lattice="5.111 0.000 0.000 0.000 5.111 0.000 0.000 0.000 5.111" Properties=species:S:1:pos:R:3 pbc="T T T"
H 0.000 1.278 2.555
H 0.000 3.833 2.555
H 1.278 2.555 0.000
H 2.555 0.000 1.278
H 2.555 0.000 3.833
H 3.833 2.555 0.000
Rh 0.000 2.555 1.278
Rh 0.000 2.555 3.833
Rh 1.278 0.000 2.555
Rh 2.555 1.278 0.000
Rh 2.555 3.833 0.000
Rh 3.833 0.000 2.555
```

Theoretical density (Mg/m³): 7.75
Final energy (eV per atom): -4.940

=====

[15]
Here is a relaxed structure of HRh2 from Alexandria. Energies are from PBE.

Structure (extended XYZ):
```
12
Lattice="4.615 0.000 0.000 0.000 5.579 0.000 0.000 0.000 4.805" Properties=species:S:1:pos:R:3 pbc="T T T"
H 0.000 0.703 1.201
H 0.000 4.876 3.603
H 2.308 2.087 3.603
H 2.308 3.492 1.201
Rh 1.138 2.096 0.389
Rh 1.138 3.483 2.792
Rh 1.170 0.694 2.792
Rh 1.170 4.885 0.389
Rh 3.445 0.694 4.415
Rh 3.445 4.885 2.013
Rh 3.477 2.096 2.013
Rh 3.477 3.483 4.415
```

Theoretical density (Mg/m³): 11.10
Final energy (eV per atom): -5.936

=====

[16]
Here is a relaxed structure of HRh from Alexandria. Energies are from PBE.

Structure (extended XYZ):
```
6
Lattice="2.725 0.000 0.000 0.000 3.803 2.761 0.000 -3.803 2.761" Properties=species:S:1:pos:R:3 pbc="T T T"
H 0.000 0.000 0.000
H 1.362 -1.622 4.085
H 1.362 1.622 4.085
Rh 0.000 -1.908 2.740
Rh 0.000 1.908 2.740
Rh 1.362 0.000 1.415
```

Theoretical density (Mg/m³): 9.05
Final energy (eV per atom): -5.234

=====

[17]
Here is a relaxed structure of HRh from Alexandria. Energies are from PBE.

Structure (extended XYZ):
```
8
Lattice="-2.737 2.737 2.737 2.737 -2.737 2.737 2.737 2.737 -2.737" Properties=species:S:1:pos:R:3 pbc="T T T"
H 2.014 2.014 -2.014
H 2.014 -2.014 2.014
H 0.723 0.723 0.723
H -2.014 2.014 2.014
Rh 1.031 1.031 -1.031
Rh 1.031 -1.031 1.031
Rh -1.031 1.031 1.031
Rh 1.706 1.706 1.706
```

Theoretical density (Mg/m³): 8.42
Final energy (eV per atom): -5.022

=====

[18]
Here is a relaxed structure of H2RuRh from Alexandria. Energies are from PBE.

Structure (extended XYZ):
```
8
Lattice="-2.062 2.062 4.139 2.062 -2.062 4.139 2.062 2.062 -4.139" Properties=species:S:1:pos:R:3 pbc="T T T"
H 3.094 1.010 -1.035
H 1.010 1.031 1.035
H -1.031 1.052 3.104
H 1.052 1.031 5.174
Ru 2.062 0.000 2.070
Ru 0.000 0.000 4.139
Rh 0.000 0.000 0.000
Rh 0.000 2.062 2.070
```

Theoretical density (Mg/m³): 9.71
Energy relative to the lowest polymorph listed for this composition (eV/atom): 0.027
Final energy (eV per atom): -5.657

=====

[19]
Here is a relaxed structure of H2RuRh from Alexandria. Energies are from PBE.

Structure (extended XYZ):
```
4
Lattice="1.403 0.810 4.923 -1.403 0.810 4.923 0.000 -1.620 4.923" Properties=species:S:1:pos:R:3 pbc="T T T"
H 0.000 0.000 0.000
H 0.000 0.000 2.373
Ru 0.000 0.000 10.989
Rh 0.000 0.000 8.361
```

Theoretical density (Mg/m³): 10.19
Energy relative to the lowest polymorph listed for this composition (eV/atom): 0.000
Final energy (eV per atom): -5.684

=====

[20]
Here is a relaxed structure of H2RuRh from Alexandria. Energies are from PBE.

Structure (extended XYZ):
```
4
Lattice="0.000 2.613 2.613 2.613 0.000 2.613 2.613 2.613 0.000" Properties=species:S:1:pos:R:3 pbc="T T T"
H 1.307 1.307 1.307
H 3.920 3.920 3.920
Ru 0.000 0.000 0.000
Rh 2.613 2.613 2.613
```

Theoretical density (Mg/m³): 9.58
Energy relative to the lowest polymorph listed for this composition (eV/atom): 0.560
Final energy (eV per atom): -5.124

=====

[21]
Here is a relaxed structure of H3RuRh from Alexandria. Energies are from PBE.

Structure (extended XYZ):
```
5
Lattice="3.393 0.000 0.000 0.000 3.393 0.000 0.000 0.000 3.393" Properties=species:S:1:pos:R:3 pbc="T T T"
H 0.000 0.000 1.696
H 0.000 1.696 0.000
H 1.696 0.000 0.000
Ru 0.000 0.000 0.000
Rh 1.696 1.696 1.696
```

Theoretical density (Mg/m³): 8.80
Energy relative to the lowest polymorph listed for this composition (eV/atom): 0.000
Final energy (eV per atom): -5.008

=====

[22]
Here is a relaxed structure of H3RuRh from Alexandria. Energies are from PBE.

Structure (extended XYZ):
```
5
Lattice="3.398 0.000 0.000 0.000 3.398 0.000 0.000 0.000 3.398" Properties=species:S:1:pos:R:3 pbc="T T T"
H 0.000 0.000 1.699
H 0.000 1.699 0.000
H 1.699 0.000 0.000
Ru 1.699 1.699 1.699
Rh 0.000 0.000 0.000
```

Theoretical density (Mg/m³): 8.76
Energy relative to the lowest polymorph listed for this composition (eV/atom): 0.009
Final energy (eV per atom): -4.999

=====

[23]
Here is a relaxed structure of H2RuRh from Alexandria. Energies are from PBE.

Structure (extended XYZ):
```
4
Lattice="1.435 0.829 5.015 -1.435 0.829 5.015 0.000 -1.657 5.015" Properties=species:S:1:pos:R:3 pbc="T T T"
H 0.000 0.000 1.771
H 0.000 0.000 13.274
Ru 0.000 0.000 0.000
Rh 0.000 0.000 7.522
```

Theoretical density (Mg/m³): 9.56
Energy relative to the lowest polymorph listed for this composition (eV/atom): 0.101
Final energy (eV per atom): -5.582

=====

[24]
Here is a relaxed structure of SbHRuRh2 from Alexandria. Energies are from PBE.

Structure (extended XYZ):
```
5
Lattice="3.967 0.000 0.000 0.000 3.967 0.000 0.000 0.000 4.071" Properties=species:S:1:pos:R:3 pbc="T T T"
Sb 0.000 0.000 0.000
H 1.983 1.983 2.036
Ru 1.983 1.983 0.000
Rh 0.000 1.983 2.036
Rh 1.983 0.000 2.036
```

Theoretical density (Mg/m³): 11.14
Final energy (eV per atom): -6.453